NbPBr2 | PBE-GGA | optimized geometry

Computed properties:
ΔE_f (raw): -0.11 eV/atom
Crystal system: tetragonal
Total DFT energy (no corrections): -4.817 eV/atom
Size of the total moment: 0.00 μB/atom
Space-group type: No. 122

Cell lengths 9.7182, 9.7182, 7.2758 Å; angles 48.10, 48.10, 90.00 degrees
Closest atoms and distances in Å follow each position.
Atoms (fractional coordinates):
P 0.5000 0.5000 0.0000  2 Nb 2.39
Br 0.3750 0.2254 0.7500  2 Nb 2.69
Br 0.7746 0.1250 0.2500  2 Nb 2.69
Nb 0.7500 0.2500 0.5000  2 P 2.39
P 0.2500 0.7500 0.5000  2 Nb 2.39
Nb 0.0000 0.0000 0.0000  2 P 2.39
Br 0.8750 0.0246 0.7500  2 Nb 2.69
Br 0.9754 0.6250 0.2500  2 Nb 2.69

AcPrSm2Tm5 | PBE-GGA | optimized geometry

Computed properties:
Formation enthalpy at 0 K: 0.25 eV per atom
Crystal system: tetragonal
Total DFT energy (no corrections): -4.268 eV/atom
Size of the total moment: 0.00 μB/atom
Space-group type: No. 140

Cell lengths 8.7875, 8.7875, 9.9634 Å; angles 116.17, 116.17, 90.00 degrees
Closest atoms and distances in Å follow each position.
Atoms (fractional coordinates):
Ac 0.2500 0.2500 0.5000  10 Tm 3.67-3.89
Tm 0.3356 0.8356 0.2604  1 Sm 3.00, 1 Pr 3.16
Tm 0.8356 0.9249 0.2604  1 Sm 3.00, 1 Pr 3.16
Sm 0.6167 0.1167 0.0000  1 Sm 2.90, 2 Tm 3.00
Ac 0.7500 0.7500 0.5000  10 Tm 3.67-3.89
Sm 0.3833 0.8833 0.0000  1 Sm 2.90, 2 Tm 3.00
Tm 0.0000 0.0000 0.0000  4 Sm 3.52, 8 Tm 3.75, 2 Ac 3.89
Tm 0.4249 0.3356 0.2604  1 Sm 3.00, 1 Pr 3.16
Tm 0.5000 0.5000 0.0000  4 Sm 3.52, 8 Tm 3.75, 2 Ac 3.89
Pr 0.7500 0.2500 0.5000  4 Tm 3.16
Tm 0.5751 0.6644 0.7396  1 Sm 3.00, 1 Pr 3.16
Tm 0.6644 0.1644 0.7396  1 Sm 3.00, 1 Pr 3.16
Pr 0.2500 0.7500 0.5000  4 Tm 3.16
Tm 0.9249 0.4249 0.2604  1 Sm 3.00, 1 Pr 3.16
Tm 0.0751 0.5751 0.7396  1 Sm 3.00, 1 Pr 3.16
Tm 0.1644 0.0751 0.7396  1 Sm 3.00, 1 Pr 3.16
Sm 0.8833 0.6167 0.0000  1 Sm 2.90, 2 Tm 3.00
Sm 0.1167 0.3833 0.0000  1 Sm 2.90, 2 Tm 3.00

Nd5YCd4 | PBE-GGA | optimized geometry

Computed properties:
Formation enthalpy at 0 K: -0.24 eV per atom
Crystal system: tetragonal
Total DFT energy (no corrections): -3.639 eV/atom
Size of the total moment: 0.10 μB/atom
Space-group type: No. 123

Cell lengths 3.8129, 3.8129, 20.5380 Å; angles 90.00, 90.00, 90.00 degrees
Closest atoms and distances in Å follow each position.
Atoms (fractional coordinates):
Cd 0.0000 0.0000 0.7870  8 Nd 3.32-3.35
Nd 0.5000 0.5000 0.6902  8 Cd 3.33-3.35
Nd 0.5000 0.5000 0.1186  4 Cd 3.32, 4 Y 3.63
Nd 0.5000 0.5000 0.3098  8 Cd 3.33-3.35
Nd 0.5000 0.5000 0.5000  8 Cd 3.33
Cd 0.0000 0.0000 0.2130  8 Nd 3.32-3.35
Nd 0.5000 0.5000 0.8814  4 Cd 3.32, 4 Y 3.63
Cd 0.0000 0.0000 0.4047  8 Nd 3.33
Cd 0.0000 0.0000 0.5953  8 Nd 3.33
Y 0.0000 0.0000 0.0000  8 Nd 3.63, 4 Y 3.81

Ce6CoSb2 | PBE-GGA | optimized geometry

Computed properties:
ΔE_f (raw): -0.52 eV/atom
Crystal system: monoclinic
Total DFT energy (no corrections): -6.180 eV/atom
Size of the total moment: 0.32 μB/atom
Space-group type: No. 12

Cell lengths 6.9000, 6.9024, 9.6445 Å; angles 90.00, 89.88, 90.00 degrees
Closest atoms and distances in Å follow each position.
Atoms (fractional coordinates):
Ce 0.0022 0.0001 0.2252  1 Co 2.65
Ce 0.7617 0.7611 0.9989  1 Co 2.55
Ce 0.2383 0.2389 0.0011  1 Co 2.55
Co 0.0000 0.0000 0.5000  6 Ce 2.55-2.65
Sb 0.5012 0.0001 0.2498  12 Ce 3.43-3.46
Ce 0.2615 0.2613 0.4990  1 Co 2.55
Ce 0.2385 0.7613 0.0010  1 Co 2.55
Ce 0.7385 0.7387 0.5010  1 Co 2.55
Ce 0.9978 0.9999 0.7748  1 Co 2.65
Co 0.5000 0.5000 0.0000  6 Ce 2.55-2.65
Ce 0.7615 0.2387 0.9990  1 Co 2.55
Sb 0.9988 0.5001 0.2502  12 Ce 3.43-3.46
Ce 0.5022 0.4999 0.7252  1 Co 2.65
Ce 0.7383 0.2611 0.5011  1 Co 2.55
Ce 0.4978 0.5001 0.2748  1 Co 2.65
Sb 0.0012 0.4999 0.7498  12 Ce 3.43-3.46
Sb 0.4988 0.9999 0.7502  12 Ce 3.43-3.46
Ce 0.2617 0.7389 0.4989  1 Co 2.55